Entry 1:
A plane-wave DFT calculation with GGA-PBE was carried out for an optimized crystal structure of BaRe2Ag.

Calculated values
Fermi-level density of states	0.78	states/eV per atom
energy of formation	1.481	eV/atom
space group	No. 139
energy above the most stable polymorph in this dataset	0.9494	eV per atom

a = 6.0773 Å, b = 6.0773 Å, c = 6.0773 Å
α = 141.52°, β = 141.52°, γ = 55.55°
With the nearest neighbours (Å) after each atom.
Fractional positions:
1 Re 0.5000 0.5000 0.0000  4 Re 2.83
2 Ba 0.7500 0.2500 0.5000  4 Ag 2.83
3 Re 0.0000 0.0000 0.0000  4 Re 2.83
4 Ag 0.2500 0.7500 0.5000  4 Ba 2.83

=====

Entry 2:
A plane-wave DFT calculation with GGA-PBE was carried out for an optimized crystal structure of LiGe.

Calculated values
Fermi-level density of states	0.13	states/eV per atom
energy of formation	-0.231	eV/atom
space group	No. 62

a = 10.7767 Å, b = 4.3083 Å, c = 5.7239 Å
α = 90.00°, β = 90.00°, γ = 90.00°
With the nearest neighbours (Å) after each atom.
Fractional positions:
1 Li 0.3360 0.2500 0.9098  8 Ge 2.71-2.94, 2 Li 2.77
2 Li 0.0682 0.2500 0.1643  7 Ge 2.70-2.97, 2 Li 2.77
3 Li 0.9318 0.7500 0.8357  7 Ge 2.70-2.97, 2 Li 2.77
4 Ge 0.8995 0.7500 0.3277  8 Li 2.71-2.97, 3 Ge 2.72-2.79
5 Li 0.4318 0.7500 0.6643  7 Ge 2.70-2.97, 2 Li 2.77
6 Ge 0.8224 0.2500 0.0777  7 Li 2.70-2.94, 3 Ge 2.72-2.79
7 Li 0.1640 0.7500 0.4098  8 Ge 2.71-2.94, 2 Li 2.77
8 Li 0.8360 0.2500 0.5902  8 Ge 2.71-2.94, 2 Li 2.77
9 Li 0.6640 0.7500 0.0902  8 Ge 2.71-2.94, 2 Li 2.77
10 Li 0.5682 0.2500 0.3357  7 Ge 2.70-2.97, 2 Li 2.77
11 Ge 0.6005 0.2500 0.8277  8 Li 2.71-2.97, 3 Ge 2.72-2.79
12 Ge 0.3224 0.2500 0.4223  7 Li 2.70-2.94, 3 Ge 2.72-2.79
13 Ge 0.6776 0.7500 0.5777  7 Li 2.70-2.94, 3 Ge 2.72-2.79
14 Ge 0.1005 0.2500 0.6723  8 Li 2.71-2.97, 3 Ge 2.72-2.79
15 Ge 0.1776 0.7500 0.9223  7 Li 2.70-2.94, 3 Ge 2.72-2.79
16 Ge 0.3995 0.7500 0.1723  8 Li 2.71-2.97, 3 Ge 2.72-2.79

=====

Entry 3:
A plane-wave DFT calculation with GGA-PBE was carried out for an optimized crystal structure of NdTmH.

Calculated values
Fermi-level density of states	0.97	states/eV per atom
space group	No. 15
energy above the most stable polymorph in this dataset	0.0000	eV per atom

a = 8.5363 Å, b = 8.5363 Å, c = 6.0393 Å
α = 53.48°, β = 53.48°, γ = 71.83°
With the nearest neighbours (Å) after each atom.
Fractional positions:
1 Tm 0.8701 0.0487 0.7471  4 H 2.16-2.17
2 H 0.9405 0.1237 0.9666  3 Tm 2.16-2.17, 1 Nd 2.25, 1 H 2.35
3 H 0.7951 0.9784 0.5275  3 Tm 2.16-2.17, 1 Nd 2.25, 1 H 2.35
4 Nd 0.1761 0.3683 0.5722  1 H 2.25
5 Nd 0.5505 0.7428 0.9218  1 H 2.25
6 Tm 0.0487 0.8701 0.2471  4 H 2.16-2.17
7 H 0.9784 0.7951 0.0275  3 Tm 2.16-2.17, 1 Nd 2.25, 1 H 2.35
8 Nd 0.3683 0.1761 0.0722  1 H 2.25
9 Tm 0.2327 0.6862 0.7470  2 H 2.16
10 H 0.1237 0.9405 0.4666  3 Tm 2.16-2.17, 1 Nd 2.25, 1 H 2.35
11 Tm 0.6862 0.2327 0.2470  2 H 2.16
12 Nd 0.7428 0.5505 0.4218  1 H 2.25